Below is a relaxed structure of K3Tl5As2, with properties calculated at the PBE-GGA level.

Structure (POSCAR):
```
K3Tl5As2
1.0
-3.970 5.556 1.909
-4.632 -1.984 9.309
5.203 5.774 7.186
K Tl As
6 10 4
Cartesian
-0.993 1.389 0.477
-2.978 4.167 1.432
1.760 6.515 11.037
-5.160 2.830 7.367
-5.638 5.022 13.160
2.239 4.323 5.244
-0.707 3.284 8.725
-2.692 6.061 9.679
-1.709 5.679 12.839
-3.676 6.444 6.519
-1.691 3.666 5.565
0.277 2.901 11.884
-1.973 0.506 7.593
-1.427 8.839 10.811
-0.108 6.321 7.716
-3.292 3.024 10.687
0.951 4.950 13.907
-4.350 4.395 4.497
-3.256 5.975 15.341
-0.143 3.370 3.063
```

Computed properties:
- Theoretical density: 6.18 g/cm³
- Energy: -52.3 eV for the cell shown
- Size of the total moment: 0.00 μB per cell

Below is a relaxed structure of Ag4SF2, with properties calculated at the PBE-GGA level.

Structure (POSCAR):
```
Ag4SF2
1.0
-1.675 -0.540 -4.540
2.292 -4.283 -0.336
-5.168 -0.355 4.560
S Ag F
1 4 2
Cartesian
0.000 0.000 0.000
-2.620 -4.078 -1.160
-1.932 -1.100 0.843
1.146 -2.141 -0.168
-0.838 -0.270 -2.270
-0.920 -3.111 -1.902
-3.631 -2.067 1.586
```

Computed properties:
- Theoretical density: 5.87 g/cm³
- Energy: -23.2 eV for the cell shown
- Energy above the most stable polymorph in this dataset: 0.005 eV/atom
- Size of the total moment: 0.00 μB per cell

Below is a relaxed structure of La5Be, with properties calculated at the PBE-GGA level.

Structure (POSCAR):
```
La5Be
1.0
4.310 0.246 6.740
-7.331 -1.201 -2.979
0.984 -4.887 -0.451
La Be
5 1
Cartesian
-2.823 -3.146 0.149
-5.440 -0.966 -1.400
0.492 -2.444 -0.225
2.419 0.011 5.161
0.785 -2.697 3.161
-1.511 -0.478 1.881
```

Computed properties:
- Theoretical density: 6.23 g/cm³
- Energy: -27.1 eV for the cell shown
- Energy above the most stable polymorph in this dataset: 0.134 eV/atom
- Size of the total moment: 0.00 μB per cell

Below is a relaxed structure of Pm8Te3PPt3, with properties calculated at the PBE-GGA level.

Structure (POSCAR):
```
Pm8Te3PPt3
1.0
8.480 0.002 0.003
-4.238 7.349 -0.030
0.001 -4.878 7.350
Pm Te P Pt
8 3 1 3
Cartesian
0.001 2.456 2.091
4.242 0.018 5.232
4.241 2.467 2.089
0.002 0.006 5.235
6.370 -1.223 2.105
-2.127 3.696 5.218
2.112 -1.224 2.103
2.132 3.697 5.220
0.000 0.000 0.000
-2.119 3.674 -0.015
2.121 3.676 -0.014
0.001 -2.439 3.675
4.241 -2.438 3.677
2.122 1.237 3.662
-2.118 1.236 3.660
```

Computed properties:
- Theoretical density: 7.85 g/cm³
- Energy: -88.6 eV for the cell shown
- Size of the total moment: 0.00 μB per cell

Below is a relaxed structure of CaTlCr2, with properties calculated at the PBE-GGA level.

Structure (POSCAR):
```
CaTlCr2
1.0
5.178 -0.564 -0.361
1.631 4.947 0.361
-2.916 -2.950 3.171
Cr Tl Ca
2 1 1
Cartesian
0.281 0.181 0.000
0.810 1.934 1.766
3.275 2.108 0.000
2.931 -0.598 1.405
```

Computed properties:
- Theoretical density: 6.67 g/cm³
- Energy: -22.0 eV for the cell shown
- Energy above the most stable polymorph in this dataset: 0.125 eV/atom
- Size of the total moment: 0.01 μB per cell

Below is a relaxed structure of YHfCoRu, with properties calculated at the PBE-GGA level.

Structure (POSCAR):
```
YHfCoRu
1.0
4.651 0.000 0.000
2.326 4.028 0.000
2.326 1.343 3.798
Y Ru Hf Co
1 1 1 1
Cartesian
4.651 2.685 1.899
6.977 4.028 2.848
0.000 0.000 0.000
2.326 1.343 0.949
```

Computed properties:
- Theoretical density: 9.97 g/cm³
- Energy: -34.2 eV for the cell shown
- Size of the total moment: 0.41 μB per cell

Below is a relaxed structure of KSn2Pt, with properties calculated at the PBE-GGA level.

Structure (POSCAR):
```
KSn2Pt
1.0
-0.973 2.281 8.167
6.700 -4.832 2.148
4.764 1.159 4.704
K Sn Pt
2 4 2
Cartesian
2.863 -1.275 5.157
7.163 -2.474 6.005
1.343 1.292 7.195
5.334 -2.626 2.893
5.190 0.295 7.226
9.114 -1.745 12.723
0.000 0.000 0.000
3.327 1.082 9.014
```

Computed properties:
- Theoretical density: 6.89 g/cm³
- Energy: -32.1 eV for the cell shown
- Size of the total moment: 0.00 μB per cell

Below is a relaxed structure of SrSc2TaPb, with properties calculated at the PBE-GGA level.

Structure (POSCAR):
```
SrSc2TaPb
1.0
5.224 0.000 0.000
0.000 5.623 0.000
0.000 0.000 5.224
Pb Sr Sc Ta
1 1 2 1
Cartesian
0.000 2.811 0.000
2.612 2.811 2.612
0.000 0.000 2.612
2.612 0.000 0.000
0.000 0.000 0.000
```

Computed properties:
- Theoretical density: 6.12 g/cm³
- Energy: -28.1 eV for the cell shown
- Size of the total moment: 0.00 μB per cell

Below is a relaxed structure of PuPaP2O, with properties calculated at the PBE-GGA level.

Structure (POSCAR):
```
PuPaP2O
1.0
-3.065 -1.959 -1.399
1.300 -3.253 1.706
-6.963 3.008 11.041
Pu Pa P O
2 2 4 2
Cartesian
-5.659 0.804 5.844
-2.186 -0.401 5.351
-2.345 -0.628 0.588
-5.500 1.031 10.606
-4.141 0.443 8.450
-0.050 -1.324 1.963
-7.795 1.727 9.232
-3.704 -0.041 2.745
-3.481 1.504 5.521
-4.364 -1.102 5.674
```

Computed properties:
- Theoretical density: 9.03 g/cm³
- Energy: -94.8 eV for the cell shown
- Size of the total moment: 8.45 μB per cell

Below is a relaxed structure of LaNd3Er4, with properties calculated at the PBE-GGA level.

Structure (POSCAR):
```
LaNd3Er4
1.0
6.304 0.000 0.000
0.000 7.330 0.000
0.000 0.000 11.570
La Nd Er
2 6 8
Cartesian
0.908 2.744 0.000
4.059 4.586 5.785
4.080 4.616 0.000
6.199 4.617 2.906
3.047 2.713 2.879
0.928 2.713 5.785
3.047 2.713 8.691
6.199 4.617 8.664
0.936 6.450 0.000
4.078 0.869 0.000
6.183 0.879 2.898
3.031 6.451 2.887
0.927 6.460 5.785
4.088 0.880 5.785
3.031 6.451 8.683
6.183 0.879 8.672
```

Computed properties:
- Theoretical density: 7.71 g/cm³
- Energy: -74.5 eV for the cell shown
- Energy above the most stable polymorph in this dataset: 0.000 eV/atom
- Size of the total moment: 0.00 μB per cell

Below is a relaxed structure of HfAs2CSe, with properties calculated at the PBE-GGA level.

Structure (POSCAR):
```
HfAs2CSe
1.0
-4.019 1.699 0.154
-0.410 -1.344 4.134
1.658 3.796 1.398
As Hf C Se
2 1 1 1
Cartesian
-0.205 -0.672 2.067
-2.010 0.850 0.077
-1.385 2.076 2.843
0.000 0.000 0.000
0.829 1.898 0.699
```

Computed properties:
- Theoretical density: 8.35 g/cm³
- Energy: -28.6 eV for the cell shown
- Energy above the most stable polymorph in this dataset: 0.000 eV/atom
- Size of the total moment: 0.00 μB per cell

Below is a relaxed structure of SrReHg2Br, with properties calculated at the PBE-GGA level.

Structure (POSCAR):
```
SrReHg2Br
1.0
-3.762 -1.560 4.833
-2.758 -3.962 -3.425
4.138 -4.428 1.792
Re Hg Br Sr
1 2 1 1
Cartesian
-1.379 -1.981 -1.712
2.069 -2.214 0.896
-1.881 -0.780 2.417
-1.191 -4.975 1.600
0.000 0.000 0.000
```

Computed properties:
- Theoretical density: 5.30 g/cm³
- Energy: -10.5 eV for the cell shown
- Size of the total moment: 4.06 μB per cell

Below is a relaxed structure of TaCoIrPt, with properties calculated at the PBE-GGA level.

Structure (POSCAR):
```
TaCoIrPt
1.0
3.820 0.000 0.000
0.000 3.861 0.000
0.000 0.000 3.931
Ta Co Ir Pt
1 1 1 1
Cartesian
0.000 1.930 1.966
1.910 1.930 0.000
1.910 0.000 1.966
0.000 0.000 0.000
```

Computed properties:
- Theoretical density: 17.96 g/cm³
- Energy: -36.0 eV for the cell shown
- Size of the total moment: 0.79 μB per cell

Below is a relaxed structure of Cs2KLiS, with properties calculated at the PBE-GGA level.

Structure (POSCAR):
```
Cs2KLiS
1.0
7.432 0.000 0.000
0.000 7.432 0.000
0.000 0.000 4.730
Cs K S Li
2 1 1 1
Cartesian
0.000 3.716 0.000
3.716 0.000 0.000
3.716 3.716 2.365
0.000 0.000 0.000
0.000 0.000 2.365
```

Computed properties:
- Theoretical density: 2.19 g/cm³
- Energy: -11.4 eV for the cell shown
- Energy above the most stable polymorph in this dataset: 0.000 eV/atom
- Size of the total moment: 0.00 μB per cell

Below is a relaxed structure of CoReBr2, with properties calculated at the PBE-GGA level.

Structure (POSCAR):
```
CoReBr2
1.0
6.805 -0.044 -0.132
-4.012 4.382 0.054
-1.220 0.844 2.566
Br Co Re
2 1 1
Cartesian
0.000 0.000 0.000
2.793 0.400 1.217
-2.616 2.613 1.310
1.396 2.169 -0.039
```

Computed properties:
- Theoretical density: 8.91 g/cm³
- Energy: -18.0 eV for the cell shown
- Energy above the most stable polymorph in this dataset: 0.918 eV/atom
- Size of the total moment: 2.07 μB per cell

Below is a relaxed structure of AlHgTeAu2, with properties calculated at the PBE-GGA level.

Structure (POSCAR):
```
AlHgTeAu2
1.0
-2.195 4.610 -1.295
-0.926 -1.903 -5.204
-4.709 -1.820 1.503
Te Au Hg Al
1 2 1 1
Cartesian
-0.463 -0.952 -2.602
-2.354 -0.910 0.751
-1.097 2.305 -0.648
0.000 0.000 0.000
-3.915 0.443 -2.498
```

Computed properties:
- Theoretical density: 7.98 g/cm³
- Energy: -10.5 eV for the cell shown
- Size of the total moment: 0.00 μB per cell

Below is a relaxed structure of Ce4ThH8, with properties calculated at the PBE-GGA level.

Structure (POSCAR):
```
Ce4ThH8
1.0
5.900 0.000 0.000
0.000 5.900 0.000
0.000 0.000 5.900
Ce Th H
4 1 8
Cartesian
0.000 2.950 2.950
0.000 0.000 0.000
2.950 2.950 0.000
2.950 0.000 2.950
2.950 2.950 2.950
1.527 4.373 4.373
4.373 1.527 4.373
4.373 4.373 1.527
1.527 1.527 1.527
1.527 4.373 1.527
4.373 1.527 1.527
4.373 4.373 4.373
1.527 1.527 4.373
```

Computed properties:
- Theoretical density: 6.47 g/cm³
- Energy: -59.0 eV for the cell shown
- Size of the total moment: 8.10 μB per cell

Below is a relaxed structure of ScAsSe2I, with properties calculated at the PBE-GGA level.

Structure (POSCAR):
```
ScAsSe2I
1.0
5.060 0.000 0.000
0.000 5.060 0.000
0.000 0.000 5.569
I Sc As Se
1 1 1 2
Cartesian
2.530 2.530 2.785
0.000 0.000 0.000
0.000 0.000 2.785
0.000 2.530 0.000
2.530 0.000 0.000
```

Computed properties:
- Theoretical density: 4.71 g/cm³
- Energy: -20.1 eV for the cell shown
- Energy above the most stable polymorph in this dataset: 0.000 eV/atom
- Size of the total moment: 0.00 μB per cell

Below is a relaxed structure of CrTeP2, with properties calculated at the PBE-GGA level.

Structure (POSCAR):
```
CrTeP2
1.0
3.329 0.000 0.000
0.000 4.723 0.000
0.000 0.000 4.600
Cr P Te
1 2 1
Cartesian
0.000 2.362 2.300
0.000 0.000 0.000
1.665 2.362 0.000
1.665 0.000 2.300
```

Computed properties:
- Theoretical density: 5.55 g/cm³
- Energy: -21.1 eV for the cell shown
- Size of the total moment: 3.60 μB per cell

Below is a relaxed structure of Li3AlAu, with properties calculated at the PBE-GGA level.

Structure (POSCAR):
```
Li3AlAu
1.0
-2.852 -3.811 -0.475
3.640 -2.493 -1.848
1.224 -1.463 4.387
Au Al Li
1 1 3
Cartesian
0.000 0.000 0.000
1.007 -3.884 1.032
1.820 -1.247 -0.924
0.612 -0.732 2.193
-1.426 -1.906 -0.238
```

Computed properties:
- Theoretical density: 3.71 g/cm³
- Energy: -12.5 eV for the cell shown
- Energy above the most stable polymorph in this dataset: 0.399 eV/atom
- Size of the total moment: 0.00 μB per cell